A plane-wave DFT calculation with PBE with a Hubbard U was carried out for an optimized crystal structure of FePO4.

Total moment in μB/atom: 0.829
Total DFT energy (no corrections) in eV/atom: -7.106
Fermi-level density of states in states/eV per atom: 0.000
Space-group type: Pca2_1, No. 29
Mass density in g/cm³: 2.4

Unit cell a=5.3147 b=10.6059 c=14.7659 alpha=90.00 beta=90.00 gamma=90.00
Site moments in Bohr magnetons follow the coordinates.
Positions (direct):
O  0.4629  0.1665  0.6516  0.12
O  0.3954  0.0018  0.0423  0.12
O  0.0393  0.8082  0.9538  0.11
O  0.5033  0.4422  0.7054  0.11
O  0.4967  0.5578  0.2054  0.11
O  0.3954  0.4982  0.5423  0.12
O  0.5371  0.6665  0.6516  0.12
O  0.0099  0.0848  0.9009  0.12
O  0.1356  0.7493  0.7901  0.12
O  0.6889  0.7529  0.8461  0.12
O  0.5371  0.8335  0.1516  0.12
O  0.6889  0.7471  0.3461  0.12
O  0.6046  0.5018  0.0423  0.12
O  0.8644  0.2507  0.2901  0.12
O  0.9607  0.3082  0.9538  0.11
O  0.4967  0.9422  0.7054  0.11
O  0.9901  0.9152  0.4009  0.12
O  0.8644  0.2493  0.7901  0.12
O  0.8439  0.9983  0.0951  0.12
O  0.1561  0.0017  0.5951  0.12
O  0.4629  0.3335  0.1516  0.12
O  0.0393  0.6918  0.4538  0.11
O  0.0099  0.4152  0.4009  0.12
O  0.1561  0.4983  0.0951  0.12
O  0.9901  0.5848  0.9009  0.12
O  0.8439  0.5017  0.5951  0.12
O  0.3111  0.2471  0.3461  0.12
O  0.5033  0.0578  0.2054  0.11
O  0.1356  0.7507  0.2901  0.12
O  0.3111  0.2529  0.8461  0.12
O  0.6046  0.9982  0.5423  0.12
O  0.9607  0.1918  0.4538  0.11
Fe  0.0682  0.5262  0.4980  4.33
Fe  0.4664  0.7245  0.2486  4.33
Fe  0.4664  0.7755  0.7486  4.33
Fe  0.0682  0.9738  0.9980  4.33
Fe  0.9318  0.4738  0.9980  4.33
Fe  0.5336  0.2755  0.7486  4.33
Fe  0.9318  0.0262  0.4980  4.33
Fe  0.5336  0.2245  0.2486  4.33
P  0.5689  0.5271  0.6237  0.03
P  0.9645  0.7756  0.3726  0.03
P  0.0355  0.2244  0.8726  0.03
P  0.4311  0.4729  0.1237  0.03
P  0.4311  0.0271  0.6237  0.03
P  0.0355  0.2756  0.3726  0.03
P  0.9645  0.7244  0.8726  0.03
P  0.5689  0.9729  0.1237  0.03